# 1
HgSb3: relaxed, PBE-GGA.

## Properties
N(E_F): 1.18 states/eV/cell
Magnetic moment: 0.0 μB per cell
Raw formation energy: 12 kJ/mol of atoms

POSCAR file:
```
HgSb3
1.0
3.020 -3.643 0.000
3.020 3.643 0.000
0.000 0.000 5.486
Hg Sb
1 3
direct
0.000 0.000 0.000
0.292 0.708 0.500
0.500 0.500 0.000
0.708 0.292 0.500
```

***

# 2
HgSb5: relaxed, PBE-GGA.

## Properties
N(E_F): 3.05 states/eV/cell
Magnetic moment: 0.0 μB per cell
Raw formation energy: 20 kJ/mol of atoms

POSCAR file:
```
HgSb5
1.0
2.405 -8.772 0.000
2.405 8.772 0.000
0.000 0.000 3.980
Hg Sb
1 5
direct
0.000 0.000 0.000
0.191 0.809 0.500
0.356 0.644 0.000
0.500 0.500 0.500
0.644 0.356 0.000
0.809 0.191 0.500
```

***

# 3
HgSb2: relaxed, PBE-GGA.

## Properties
N(E_F): 3.15 states/eV/cell
Magnetic moment: 0.0 μB per cell
Raw formation energy: 10 kJ/mol of atoms

POSCAR file:
```
HgSb2
1.0
5.923 0.000 0.000
0.000 5.920 0.000
0.000 0.000 9.570
Hg Sb
4 8
direct
0.000 0.250 0.125
0.000 0.750 0.875
0.500 0.250 0.375
0.500 0.750 0.625
0.000 0.250 0.468
0.000 0.750 0.532
0.001 0.250 0.782
0.499 0.750 0.282
0.500 0.250 0.032
0.500 0.750 0.968
0.501 0.250 0.718
0.999 0.750 0.218
```

***

# 4
HgSb2: relaxed, PBE-GGA.

## Properties
N(E_F): 0.93 states/eV/cell
Magnetic moment: 0.0 μB per cell
Raw formation energy: 3 kJ/mol of atoms

POSCAR file:
```
HgSb2
1.0
4.312 0.000 0.000
-2.156 3.734 0.000
0.000 0.000 5.673
Hg Sb
1 2
direct
0.000 0.000 0.000
0.333 0.667 0.357
0.667 0.333 0.643
```

***

# 5
HgSb3: relaxed, PBE-GGA.

## Properties
N(E_F): 2.56 states/eV/cell
Magnetic moment: 0.0 μB per cell
Raw formation energy: 23 kJ/mol of atoms

POSCAR file:
```
HgSb3
1.0
5.242 0.000 0.000
0.000 5.242 0.000
0.000 0.000 3.902
Hg Sb
1 3
direct
0.000 0.000 0.000
0.000 0.500 0.500
0.500 0.000 0.500
0.500 0.500 0.000
```

***

# 6
Hg4Sb5: relaxed, PBE-GGA.

## Properties
N(E_F): 4.92 states/eV/cell
Magnetic moment: 0.0 μB per cell
Raw formation energy: 19 kJ/mol of atoms

POSCAR file:
```
Hg4Sb5
1.0
-5.472 5.472 1.996
5.472 -5.472 1.996
5.472 5.472 -1.996
Hg Sb
4 5
direct
0.000 0.337 0.337
0.000 0.663 0.663
0.337 0.000 0.337
0.663 0.000 0.663
0.000 0.000 0.000
0.332 0.332 0.665
0.332 0.668 0.000
0.668 0.332 0.000
0.668 0.668 0.335
```

***

# 7
HgSb3: relaxed, PBE-GGA.

## Properties
N(E_F): 0.67 states/eV/cell
Magnetic moment: 0.0 μB per cell
Raw formation energy: 17 kJ/mol of atoms

POSCAR file:
```
HgSb3
1.0
7.220 0.000 0.000
-3.610 6.253 0.000
0.000 0.000 5.470
Hg Sb
2 6
direct
0.333 0.667 0.250
0.667 0.333 0.750
0.141 0.281 0.750
0.141 0.859 0.750
0.281 0.141 0.250
0.719 0.859 0.750
0.859 0.141 0.250
0.859 0.719 0.250
```

***

# 8
HgSb2: relaxed, PBE-GGA.

## Properties
N(E_F): 3.11 states/eV/cell
Magnetic moment: 0.0 μB per cell
Raw formation energy: 20 kJ/mol of atoms

POSCAR file:
```
HgSb2
1.0
6.666 0.000 0.000
-3.333 5.773 0.000
0.000 0.000 10.397
Hg Sb
4 8
direct
0.333 0.667 0.055
0.333 0.667 0.445
0.667 0.333 0.555
0.667 0.333 0.945
0.000 0.000 0.000
0.000 0.000 0.500
0.147 0.294 0.750
0.147 0.853 0.750
0.294 0.147 0.250
0.706 0.853 0.750
0.853 0.147 0.250
0.853 0.706 0.250
```

***

# 9
Hg3Sb2: relaxed, PBE-GGA.

## Properties
N(E_F): 3.24 states/eV/cell
Magnetic moment: 0.0 μB per cell
Raw formation energy: 12 kJ/mol of atoms

POSCAR file:
```
Hg3Sb2
1.0
0.000 7.716 3.109
5.992 0.000 3.109
5.992 7.716 0.000
Hg Sb
6 4
direct
0.000 0.000 0.000
0.250 0.250 0.250
0.360 0.636 0.466
0.636 0.360 0.538
0.712 0.784 0.614
0.784 0.712 0.890
0.176 0.671 0.858
0.392 0.955 0.074
0.671 0.176 0.295
0.955 0.392 0.579
```

***

# 10
HgSb3: relaxed, PBE-GGA.

## Properties
N(E_F): 2.13 states/eV/cell
Magnetic moment: 0.0 μB per cell
Raw formation energy: 23 kJ/mol of atoms

POSCAR file:
```
HgSb3
1.0
3.439 0.000 0.000
-1.719 2.978 0.000
0.000 0.000 10.846
Hg Sb
1 3
direct
0.000 0.000 0.000
0.000 0.000 0.500
0.667 0.333 0.265
0.667 0.333 0.735
```

***

# 11
HgSb2: relaxed, PBE-GGA.

## Properties
N(E_F): 2.67 states/eV/cell
Magnetic moment: 0.0 μB per cell
Raw formation energy: 12 kJ/mol of atoms

POSCAR file:
```
HgSb2
1.0
6.687 -1.588 0.000
6.687 1.588 0.000
-3.042 0.000 7.850
Hg Sb
2 4
direct
0.164 0.164 0.333
0.836 0.836 0.667
0.000 0.000 0.500
0.333 0.333 0.172
0.500 0.500 0.000
0.667 0.667 0.828
```

***

# 12
Hg3Sb: relaxed, PBE-GGA.

## Properties
N(E_F): 0.90 states/eV/cell
Magnetic moment: 0.0 μB per cell
Raw formation energy: 12 kJ/mol of atoms

POSCAR file:
```
Hg3Sb
1.0
4.007 -4.023 0.000
4.007 4.023 0.000
0.000 0.000 3.302
Hg Sb
3 1
direct
0.000 0.000 0.000
0.000 0.500 0.500
0.500 0.000 0.500
0.500 0.500 0.000
```

***

# 13
HgSb2: relaxed, PBE-GGA.

## Properties
N(E_F): 2.78 states/eV/cell
Magnetic moment: 0.0 μB per cell
Raw formation energy: 13 kJ/mol of atoms

POSCAR file:
```
HgSb2
1.0
6.237 -1.637 0.000
6.237 1.637 0.000
-5.992 0.000 8.482
Hg Sb
2 4
direct
0.125 0.125 0.495
0.875 0.875 0.505
0.213 0.213 0.166
0.447 0.447 0.157
0.553 0.553 0.843
0.787 0.787 0.834
```

***

# 14
HgSb3: relaxed, PBE-GGA.

## Properties
N(E_F): 2.21 states/eV/cell
Magnetic moment: 0.0 μB per cell
Raw formation energy: 13 kJ/mol of atoms

POSCAR file:
```
HgSb3
1.0
-1.590 2.892 6.112
1.590 -2.892 6.112
1.590 2.892 -6.112
Hg Sb
1 3
direct
0.000 0.000 0.000
0.249 0.249 0.000
0.500 0.500 0.000
0.751 0.751 0.000
```

***

# 15
HgSb5: relaxed, PBE-GGA.

## Properties
N(E_F): 4.07 states/eV/cell
Magnetic moment: 0.0 μB per cell
Raw formation energy: 7 kJ/mol of atoms

POSCAR file:
```
HgSb5
1.0
6.205 0.000 0.000
0.000 2.161 6.685
0.000 -2.161 6.685
Hg Sb
1 5
direct
0.000 0.000 0.000
0.000 0.324 0.324
0.000 0.676 0.676
0.500 0.001 0.001
0.500 0.333 0.333
0.500 0.669 0.669
```

***

# 16
HgSb7: relaxed, PBE-GGA.

## Properties
N(E_F): 4.24 states/eV/cell
Magnetic moment: 0.0 μB per cell
Raw formation energy: 28 kJ/mol of atoms

POSCAR file:
```
HgSb7
1.0
0.000 4.785 4.785
4.785 0.000 4.785
4.785 4.785 0.000
Hg Sb
1 7
direct
0.000 0.000 0.000
0.000 0.000 0.500
0.000 0.500 0.000
0.000 0.500 0.500
0.500 0.000 0.000
0.500 0.000 0.500
0.500 0.500 0.000
0.500 0.500 0.500
```

***

# 17
HgSb3: relaxed, PBE-GGA.

## Properties
N(E_F): 3.27 states/eV/cell
Magnetic moment: 0.0 μB per cell
Raw formation energy: 25 kJ/mol of atoms

POSCAR file:
```
HgSb3
1.0
4.780 0.000 0.000
0.000 4.780 0.000
0.000 0.000 4.780
Hg Sb
1 3
direct
0.000 0.000 0.000
0.000 0.500 0.500
0.500 0.000 0.500
0.500 0.500 0.000
```

***

# 18
Hg3Sb: relaxed, PBE-GGA.

## Properties
N(E_F): 2.07 states/eV/cell
Magnetic moment: 0.0 μB per cell
Raw formation energy: 11 kJ/mol of atoms

POSCAR file:
```
Hg3Sb
1.0
3.100 0.000 0.000
0.000 5.831 0.000
0.000 0.000 6.041
Hg Sb
3 1
direct
0.000 0.000 0.000
0.500 0.500 0.249
0.500 0.500 0.751
0.000 0.000 0.500
```

***

# 19
Hg3Sb: relaxed, PBE-GGA.

## Properties
N(E_F): 2.05 states/eV/cell
Magnetic moment: 0.0 μB per cell
Raw formation energy: 12 kJ/mol of atoms

POSCAR file:
```
Hg3Sb
1.0
1.919 -2.757 0.000
1.919 2.757 0.000
0.000 0.000 10.058
Hg Sb
3 1
direct
0.000 0.000 0.000
0.500 0.500 0.247
0.500 0.500 0.753
0.000 0.000 0.500
```

***

# 20
HgSb3: relaxed, PBE-GGA.

## Properties
N(E_F): 2.21 states/eV/cell
Magnetic moment: 0.0 μB per cell
Raw formation energy: 22 kJ/mol of atoms

POSCAR file:
```
HgSb3
1.0
5.216 3.011 1.138
-5.216 3.011 1.138
0.000 -6.023 1.138
Hg Sb
1 3
direct
0.000 0.000 0.000
0.000 0.500 0.500
0.500 0.000 0.500
0.500 0.500 0.000
```

***

# 21
HgSb2: relaxed, PBE-GGA.

## Properties
N(E_F): 1.58 states/eV/cell
Magnetic moment: 0.0 μB per cell
Raw formation energy: 17 kJ/mol of atoms

POSCAR file:
```
HgSb2
1.0
-1.924 1.924 5.751
1.924 -1.924 5.751
1.924 1.924 -5.751
Hg Sb
1 2
direct
0.000 0.000 0.000
0.313 0.313 0.000
0.687 0.687 0.000
```

***

# 22
HgSb2: relaxed, PBE-GGA.

## Properties
N(E_F): 3.15 states/eV/cell
Magnetic moment: 0.0 μB per cell
Raw formation energy: 26 kJ/mol of atoms

POSCAR file:
```
HgSb2
1.0
-4.008 4.008 2.735
4.008 -4.008 2.735
4.008 4.008 -2.735
Hg Sb
2 4
direct
0.250 0.250 0.000
0.750 0.750 0.000
0.126 0.626 0.752
0.374 0.126 0.500
0.626 0.874 0.500
0.874 0.374 0.248
```

***

# 23
Hg3Sb5: relaxed, PBE-GGA.

## Properties
N(E_F): 8.02 states/eV/cell
Magnetic moment: 0.0 μB per cell
Raw formation energy: 23 kJ/mol of atoms

POSCAR file:
```
Hg3Sb5
1.0
9.331 0.000 0.000
-4.665 8.081 0.000
0.000 0.000 6.167
Hg Sb
6 10
direct
0.000 0.422 0.250
0.000 0.578 0.750
0.422 0.000 0.250
0.422 0.422 0.750
0.578 0.000 0.750
0.578 0.578 0.250
0.000 0.182 0.750
0.000 0.818 0.250
0.182 0.000 0.750
0.182 0.182 0.250
0.333 0.667 0.000
0.333 0.667 0.500
0.667 0.333 0.000
0.667 0.333 0.500
0.818 0.000 0.250
0.818 0.818 0.750
```

***

# 24
HgSb2: relaxed, PBE-GGA.

## Properties
N(E_F): 1.55 states/eV/cell
Magnetic moment: 0.0 μB per cell
Raw formation energy: 23 kJ/mol of atoms

POSCAR file:
```
HgSb2
1.0
3.333 0.000 0.000
-1.667 2.887 0.000
0.000 0.000 8.838
Hg Sb
1 2
direct
0.000 0.000 0.000
0.333 0.667 0.350
0.667 0.333 0.650
```

***

# 25
HgSb3: relaxed, PBE-GGA.

## Properties
N(E_F): 4.19 states/eV/cell
Magnetic moment: 0.0 μB per cell
Raw formation energy: 15 kJ/mol of atoms

POSCAR file:
```
HgSb3
1.0
5.382 -5.809 0.000
5.382 5.809 0.000
0.000 0.000 3.932
Hg Sb
2 6
direct
0.105 0.895 0.750
0.895 0.105 0.250
0.117 0.431 0.250
0.395 0.605 0.750
0.431 0.117 0.750
0.569 0.883 0.250
0.605 0.395 0.250
0.883 0.569 0.750
```

***

# 26
HgSb3: relaxed, PBE-GGA.

## Properties
N(E_F): 1.90 states/eV/cell
Magnetic moment: 0.0 μB per cell
Raw formation energy: 24 kJ/mol of atoms

POSCAR file:
```
HgSb3
1.0
3.178 -5.412 0.000
3.178 5.412 0.000
0.000 0.000 3.178
Hg Sb
1 3
direct
0.000 0.000 0.000
0.000 0.500 0.500
0.500 0.000 0.500
0.500 0.500 0.000
```

***

# 27
HgSb2: relaxed, PBE-GGA.

## Properties
N(E_F): 1.70 states/eV/cell
Magnetic moment: 0.0 μB per cell
Raw formation energy: 17 kJ/mol of atoms

POSCAR file:
```
HgSb2
1.0
5.051 0.000 0.000
0.000 8.405 0.000
0.000 0.000 4.469
Hg Sb
2 4
direct
0.000 0.000 0.000
0.500 0.500 0.500
0.201 0.381 0.000
0.299 0.881 0.500
0.701 0.119 0.500
0.799 0.619 0.000
```